Entry 1:
Here is a geometry-optimized EuHo3Mn structure from the Alexandria database. Energies are from PBE-GGA.

Geometry as CIF:
```
data_EuHo3Mn
_chemical_formula_sum 'Eu1 Ho3 Mn1'
_space_group_name_H-M_alt 'P m -3 m'
_space_group_IT_number 221
_space_group_name_Hall '-P 4 2 3'
_cell_length_a 5.3377
_cell_length_b 5.3377
_cell_length_c 5.3377
_cell_angle_alpha 90.00
_cell_angle_beta 90.00
_cell_angle_gamma 90.00
loop_
_atom_site_label
_atom_site_type_symbol
_atom_site_fract_x
_atom_site_fract_y
_atom_site_fract_z
_atom_site_occupancy
Eu1 Eu 0.0000 0.0000 0.0000 1
Ho1 Ho 0.0000 0.5000 0.5000 1
Mn1 Mn 0.5000 0.5000 0.5000 1
```

For the formation energy, the calculation gives 173 meV per atom.

=====

Entry 2:
Here is a geometry-optimized Ba2PdRhN structure from the Alexandria database. Energies are from PBE-GGA.

Geometry as CIF:
```
data_Ba2PdRhN
_chemical_formula_sum 'Ba2 Pd1 Rh1 N1'
_space_group_name_H-M_alt 'P 4/m m m'
_space_group_IT_number 123
_space_group_name_Hall '-P 4 2'
_cell_length_a 5.7951
_cell_length_b 5.7951
_cell_length_c 3.8048
_cell_angle_alpha 90.00
_cell_angle_beta 90.00
_cell_angle_gamma 90.00
loop_
_atom_site_label
_atom_site_type_symbol
_atom_site_fract_x
_atom_site_fract_y
_atom_site_fract_z
_atom_site_occupancy
Ba1 Ba 0.0000 0.5000 0.0000 1
Pd1 Pd 0.0000 0.0000 0.5000 1
Rh1 Rh 0.5000 0.5000 0.5000 1
N1 N 0.5000 0.5000 0.0000 1
```

As for the uncorrected formation energy: -0.442 eV/atom.

=====

Entry 3:
Here is a geometry-optimized CeSmMnGa structure from the Alexandria database. Energies are from PBE-GGA.

Geometry as CIF:
```
data_CeSmMnGa
_chemical_formula_sum 'Ce4 Sm4 Mn4 Ga4'
_space_group_name_H-M_alt 'F -4 3 m'
_space_group_IT_number 216
_space_group_name_Hall 'F -4 2 3'
_cell_length_a 7.2341
_cell_length_b 7.2341
_cell_length_c 7.2341
_cell_angle_alpha 90.00
_cell_angle_beta 90.00
_cell_angle_gamma 90.00
loop_
_atom_site_label
_atom_site_type_symbol
_atom_site_fract_x
_atom_site_fract_y
_atom_site_fract_z
_atom_site_occupancy
Ce1 Ce 0.0000 0.0000 0.0000 1
Sm1 Sm 0.0000 0.0000 0.5000 1
Mn1 Mn 0.2500 0.2500 0.2500 1
Ga1 Ga 0.2500 0.2500 0.7500 1
```

For the formation energy, the calculation gives -85 meV per atom.

=====

Entry 4:
Here is a geometry-optimized SrFe2W structure from the Alexandria database. Energies are from PBE-GGA.

Geometry as CIF:
```
data_SrFe2W
_chemical_formula_sum 'Sr1 Fe2 W1'
_space_group_name_H-M_alt 'P 4/m m m'
_space_group_IT_number 123
_space_group_name_Hall '-P 4 2'
_cell_length_a 4.8585
_cell_length_b 4.8585
_cell_length_c 2.8559
_cell_angle_alpha 90.00
_cell_angle_beta 90.00
_cell_angle_gamma 90.00
loop_
_atom_site_label
_atom_site_type_symbol
_atom_site_fract_x
_atom_site_fract_y
_atom_site_fract_z
_atom_site_occupancy
Sr1 Sr 0.0000 0.0000 0.0000 1
Fe1 Fe 0.0000 0.5000 0.5000 1
W1 W 0.5000 0.5000 0.0000 1
```

For the formation energy, the calculation gives 944 meV per atom. Its polymorph energy (0 for the lowest one) is 436 meV per atom.

=====

Number 2 is which compound? Ba2PdRhN